A plane-wave DFT calculation with PBE was carried out for a geometry-optimized BaCrAs2Br structure.

Cell lengths 4.7812, 4.7812, 5.7883 Å; angles 90.00, 90.00, 90.00 degrees
Last column: nearest neighbours and their distance in Å.
Fractional coordinates of all 5 atoms:
Cr 0.0000 0.0000 0.0000  4 As 2.39
As 0.0000 0.5000 0.0000  2 Cr 2.39
As 0.5000 0.0000 0.0000  2 Cr 2.39
Br 0.0000 0.0000 0.5000  2 Cr 2.89
Ba 0.5000 0.5000 0.5000  4 Br 3.38, 8 As 3.75

Values from the calculation:
VASP energy   -5.1103 eV/atom
Formation energy without anion corrections   -0.6067 eV/atom

***

A plane-wave DFT calculation with PBE was carried out for a geometry-optimized LiEuMgRu structure.

Cell lengths 4.8282, 4.8282, 4.8282 Å; angles 60.00, 60.00, 60.00 degrees
Last column: nearest neighbours and their distance in Å.
Fractional coordinates of all 4 atoms:
Mg 0.0000 0.0000 0.0000  4 Li 2.96, 4 Ru 2.96
Ru 0.2500 0.2500 0.2500  4 Mg 2.96, 4 Eu 2.96
Eu 0.5000 0.5000 0.5000  4 Li 2.96, 4 Ru 2.96
Li 0.7500 0.7500 0.7500  4 Mg 2.96, 4 Eu 2.96

Values from the calculation:
VASP energy   -5.6591 eV/atom
Energy of formation   106 meV/atom

***

A plane-wave DFT calculation with PBE was carried out for a geometry-optimized CdHg2 structure.

Cell lengths 4.7078, 4.7078, 4.1039 Å; angles 90.00, 90.00, 120.00 degrees
Last column: nearest neighbours and their distance in Å.
Fractional coordinates of all 3 atoms:
Cd 0.0000 0.0000 0.0000  6 Hg 3.03
Hg 0.3333 0.6667 0.3269  3 Cd 3.03, 3 Hg 3.07
Hg 0.6667 0.3333 0.6731  3 Cd 3.03, 3 Hg 3.07

Values from the calculation:
VASP energy   -0.4720 eV/atom
Energy of formation   34 meV/atom
Excess energy over the best structure of this formula in the dataset   17.4 meV/atom

***

A plane-wave DFT calculation with PBE was carried out for a geometry-optimized Cd2IrI structure.

Cell lengths 6.5621, 6.5621, 8.0766 Å; angles 66.03, 66.03, 90.00 degrees
Last column: nearest neighbours and their distance in Å.
Fractional coordinates of all 8 atoms:
Cd 0.3750 0.3097 0.7500  2 Ir 2.63
Cd 0.0597 0.6250 0.2500  2 Ir 2.63
Cd 0.8750 0.9403 0.7500  2 Ir 2.63
Cd 0.6903 0.1250 0.2500  2 Ir 2.63
I 0.2500 0.7500 0.5000  4 Cd 3.11
I 0.5000 0.5000 0.0000  4 Cd 3.11
Ir 0.7500 0.2500 0.5000  4 Cd 2.63
Ir 0.0000 0.0000 0.0000  4 Cd 2.63

Values from the calculation:
VASP energy   -2.5033 eV/atom
Formation energy without anion corrections   0.5570 eV/atom
Excess energy over the best structure of this formula in the dataset   0.0 meV/atom